1.
# TlTc2Ni GGA-PBE relaxed
data_TlTc2Ni
_cell_length_a 2.867
_cell_length_b 3.868
_cell_length_c 5.819
_cell_angle_alpha 90.00
_cell_angle_beta 90.00
_cell_angle_gamma 90.00
_symmetry_space_group_name_H-M 'P m m m'
_symmetry_Int_Tables_number 47
_symmetry_space_group_name_Hall '-P 2 2'
loop_
_atom_site_label
_atom_site_type_symbol
_atom_site_fract_x
_atom_site_fract_y
_atom_site_fract_z
Tl1 Tl 0.000 0.000 0.000
Tc1 Tc 0.500 0.500 0.304
Ni1 Ni 0.000 0.000 0.500
# E above lowest polymorph = 122 meV per atom
# DFT total energy = -6.719 eV per atom

=====

2.
# TlTcNi GGA-PBE relaxed
data_TlTcNi
_cell_length_a 2.922
_cell_length_b 2.922
_cell_length_c 11.287
_cell_angle_alpha 90.00
_cell_angle_beta 90.00
_cell_angle_gamma 90.00
_symmetry_space_group_name_H-M 'I 4 m m'
_symmetry_Int_Tables_number 107
_symmetry_space_group_name_Hall 'I 4 -2'
loop_
_atom_site_label
_atom_site_type_symbol
_atom_site_fract_x
_atom_site_fract_y
_atom_site_fract_z
Tl1 Tl 0.000 0.000 0.000
Tc1 Tc 0.000 0.000 0.693
Ni1 Ni 0.000 0.000 0.324
# E above lowest polymorph = 0 meV per atom
# DFT total energy = -5.692 eV per atom

=====

3.
# TlTc2Ni GGA-PBE relaxed
data_TlTc2Ni
_cell_length_a 3.839
_cell_length_b 4.148
_cell_length_c 7.767
_cell_angle_alpha 90.00
_cell_angle_beta 90.00
_cell_angle_gamma 90.00
_symmetry_space_group_name_H-M 'I m m 2'
_symmetry_Int_Tables_number 44
_symmetry_space_group_name_Hall 'I 2 -2'
loop_
_atom_site_label
_atom_site_type_symbol
_atom_site_fract_x
_atom_site_fract_y
_atom_site_fract_z
Tl1 Tl 0.000 0.000 0.000
Tc1 Tc 0.000 0.000 0.494
Tc2 Tc 0.000 0.500 0.759
Ni1 Ni 0.000 0.500 0.250
# E above lowest polymorph = 110 meV per atom
# DFT total energy = -6.731 eV per atom